(1)
DFT (GGA-PBE) results for a relaxed TaBeTe2 crystal.

abc: 7.5463 7.5463 7.5463
angles: 27.59 27.59 27.59
With the nearest neighbours (Å) after each atom.
Atoms (fractional coordinates):
1 Be 0.2500 0.2500 0.2500  6 Te 2.65
2 Te 0.5078 0.5078 0.5078  3 Be 2.65, 3 Ta 2.87
3 Te 0.9922 0.9922 0.9922  3 Be 2.65, 3 Ta 2.87
4 Ta 0.7500 0.7500 0.7500  6 Te 2.87

Properties
The value obtained for the spin magnetization is 0.00 μB/f.u. Its space-group type is R-3m. As for the uncorrected formation energy: 0.230 eV/atom. Its density of states at the Fermi level is 0.774 states/eV per atom.

(2)
DFT (GGA-PBE) results for a relaxed TaAl2Ag crystal.

abc: 7.1133 7.1133 5.7870
angles: 52.08 52.08 90.00
With the nearest neighbours (Å) after each atom.
Atoms (fractional coordinates):
1 Al 0.6023 0.1250 0.2500  2 Ag 2.51, 2 Ta 2.73
2 Al 0.8750 0.8523 0.7500  2 Ag 2.51, 2 Ta 2.73
3 Al 0.1477 0.6250 0.2500  2 Ag 2.51, 2 Ta 2.73
4 Al 0.3750 0.3977 0.7500  2 Ag 2.51, 2 Ta 2.73
5 Ta 0.0000 0.0000 0.0000  4 Al 2.73, 2 Ag 2.86
6 Ta 0.7500 0.2500 0.5000  4 Al 2.73, 2 Ag 2.86
7 Ag 0.5000 0.5000 0.0000  4 Al 2.51
8 Ag 0.2500 0.7500 0.5000  4 Al 2.51

Properties
The value obtained for the energy above the most stable polymorph in this dataset is 512 meV per atom. The value obtained for the spin magnetization is 0.00 μB/f.u. Its space-group type is I-42d. The calculation puts the formation energy from the elements at 0.372 eV per atom. Its density of states at the Fermi level is 0.273 states/eV per atom.